DFT (PBE-GGA) results for a geometry-optimized Te2PtCl structure.

Structure (POSCAR):
```
Te2PtCl
1.0
-1.6621 1.8856 8.0849
1.6621 -1.8856 8.0849
1.6621 1.8856 -8.0849
Te Pt Cl
2 1 1
direct
0.0000 0.0000 0.0000 Te
0.8005 0.3005 0.5000 Te
0.4187 0.4187 0.0000 Pt
0.1458 0.6458 0.5000 Cl
```

Output
The total energy is -3.73 eV/atom. For the formation energy (no corrections), the calculation gives -0.7 eV per formula unit. For the magnetization, the calculation gives 0.00 Bohr magnetons per cell.